Entry from Alexandria via LeMat-Bulk: a relaxed MgW2O4 crystal (PBE+U).

Values from the calculation:
- Distance to the lowest polymorph of the same formula: 0.200 eV/atom
- Total DFT energy (no corrections): -6.8090 eV/atom
- Magnetization: 16.06 Bohr magnetons per cell

Unit cell a=5.3203 b=6.3899 c=10.7461 alpha=90.00 beta=90.00 gamma=90.00
Closest atoms and distances in Å follow each position.
Element x y z (fractional)
1 Mg 0.3253 0.0000 0.5000  2 O 2.02
2 Mg 0.6747 0.5000 0.0000  2 O 2.02
3 Mg 0.0510 0.0000 0.0000  2 O 2.09
4 Mg 0.9490 0.5000 0.5000  2 O 2.09
5 W 0.0428 0.5000 0.2350  6 O 2.16-2.23
6 W 0.0428 0.5000 0.7650  6 O 2.16-2.23
7 W 0.9572 0.0000 0.2650  6 O 2.16-2.23
8 W 0.9572 0.0000 0.7350  6 O 2.16-2.23
9 W 0.5000 0.2500 0.2500  6 O 2.14-2.23
10 W 0.5000 0.7500 0.7500  6 O 2.14-2.23
11 W 0.5000 0.7500 0.2500  6 O 2.14-2.23
12 W 0.5000 0.2500 0.7500  6 O 2.14-2.23
13 O 0.3963 0.5000 0.1276  1 Mg 2.02, 3 W 2.14-2.21
14 O 0.3963 0.5000 0.8724  1 Mg 2.02, 3 W 2.14-2.21
15 O 0.6037 0.0000 0.3724  1 Mg 2.02, 3 W 2.14-2.21
16 O 0.6037 0.0000 0.6276  1 Mg 2.02, 3 W 2.14-2.21
17 O 0.7069 0.5000 0.3474  1 Mg 2.09, 3 W 2.16-2.20
18 O 0.7069 0.5000 0.6526  1 Mg 2.09, 3 W 2.16-2.20
19 O 0.2931 0.0000 0.1526  1 Mg 2.09, 3 W 2.16-2.20
20 O 0.2931 0.0000 0.8474  1 Mg 2.09, 3 W 2.16-2.20
21 O 0.1539 0.2477 0.3671  3 W 2.19-2.23, 2 Mg 2.32-2.41
22 O 0.1539 0.7523 0.6329  3 W 2.19-2.23, 2 Mg 2.32-2.41
23 O 0.8461 0.7477 0.1329  3 W 2.19-2.23, 2 Mg 2.32-2.41
24 O 0.8461 0.2523 0.8671  3 W 2.19-2.23, 2 Mg 2.32-2.41
25 O 0.8461 0.2523 0.1329  3 W 2.19-2.23, 2 Mg 2.32-2.41
26 O 0.8461 0.7477 0.8671  3 W 2.19-2.23, 2 Mg 2.32-2.41
27 O 0.1539 0.7523 0.3671  3 W 2.19-2.23, 2 Mg 2.32-2.41
28 O 0.1539 0.2477 0.6329  3 W 2.19-2.23, 2 Mg 2.32-2.41